The following is a PBE-GGA calculation of a relaxed structure of Li4PmHo3Se8, from Alexandria via LeMat-Bulk.

magnetic moment: 0.00 μB/atom
DFT total energy: -5.0650 eV/atom
E_form (uncorrected): -1.689 eV/atom
ρ: 5741 kg/m³

The structure in CIF format:
```
data_Li4PmHo3Se8
_chemical_formula_sum 'Li12 Pm3 Ho9 Se24'
_symmetry_space_group_name_H-M 'R -3 m'
_symmetry_Int_Tables_number 166
_symmetry_space_group_name_Hall '-R 3 2"'
_cell_length_a 8.1689
_cell_length_b 8.1689
_cell_length_c 19.5105
_cell_angle_alpha 90.00
_cell_angle_beta 90.00
_cell_angle_gamma 120.00
loop_
_atom_site_label
_atom_site_fract_x
_atom_site_fract_y
_atom_site_fract_z
_atom_site_occupancy
Li1 0.0000 0.0000 0.0000 1
Li2 0.0000 0.5000 0.0000 1
Pm1 0.0000 0.0000 0.5000 1
Ho1 0.0000 0.5000 0.5000 1
Se1 0.0000 0.0000 0.2504 1
Se2 0.0066 0.5033 0.7485 1
```